K3GeMo after structural relaxation, computed with GGA-PBEsol.

Cell lengths 6.369, 6.369, 6.369 Å; angles 90.00, 90.00, 90.00 degrees
Fractional coordinates of all 5 atoms:
K (0.000, 0.000, 0.500)
K (0.000, 0.500, 0.000)
K (0.500, 0.000, 0.000)
Ge (0.000, 0.000, 0.000)
Mo (0.500, 0.500, 0.500)

## Properties
SG: Pm-3m (221)
Calculated total energy: -13.3 eV for the cell shown
Fermi-level density of states: 0.505 states/eV per atom